(one)
Entry from Alexandria: crystalline MgTeIrN2 at its relaxed geometry (PBE).

```
5
Lattice="-0.024 -3.847 -0.489 3.877 -0.033 0.065 -0.104 -0.737 5.809" Properties=species:S:1:pos:R:3 pbc="T T T"
Mg 1.875 -2.308 2.693
Ir 0.000 0.000 0.000
Te -0.052 -0.369 2.905
N 1.938 -0.016 0.032
N -0.012 -1.923 -0.244
```

Summary:
Symmetry: P4/mmm
Theoretical density: 7.02 g/cm³
Crystal system: tetragonal
Total moment: 0.00 μB/cell

=====

(two)
Entry from Alexandria: crystalline MgTeIrN2 at its relaxed geometry (PBE).

```
5
Lattice="-2.581 2.536 1.442 -2.617 -1.161 -2.642 -2.078 -4.378 3.982" Properties=species:S:1:pos:R:3 pbc="T T T"
Mg 0.000 0.000 0.000
Ir -3.638 -1.501 1.391
Te -1.039 -2.189 1.991
N -1.308 -0.580 -1.321
N -1.290 1.268 0.721
```

Summary:
Symmetry: P4/mmm
Theoretical density: 6.49 g/cm³
Crystal system: tetragonal
Total moment: 3.08 μB/cell

=====

Stability check: which of them is most stable? (one).

=====

(one)
Entry from Alexandria: crystalline NaMg3Ir at its relaxed geometry (PBE).

```
5
Lattice="5.053 0.000 0.000 0.000 5.053 0.000 0.000 0.000 5.053" Properties=species:S:1:pos:R:3 pbc="T T T"
Na 2.526 2.526 2.526
Mg 0.000 2.526 0.000
Mg 0.000 0.000 2.526
Mg 2.526 0.000 0.000
Ir 0.000 0.000 0.000
```

Summary:
Symmetry: Pm-3m
Theoretical density: 3.71 g/cm³
Crystal system: cubic
Total moment: 0.00 μB/cell

=====

(two)
Entry from Alexandria: crystalline NaMg3Ir at its relaxed geometry (PBE).

```
5
Lattice="4.771 0.000 0.000 0.000 4.771 0.000 0.000 0.000 4.771" Properties=species:S:1:pos:R:3 pbc="T T T"
Na 0.000 0.000 0.000
Mg 0.000 2.385 0.000
Mg 0.000 0.000 2.385
Mg 2.385 0.000 0.000
Ir 2.385 2.385 2.385
```

Summary:
Symmetry: Pm-3m
Theoretical density: 4.41 g/cm³
Crystal system: cubic
Total moment: 0.00 μB/cell

=====

Stability check: which of them is most stable? (one).

=====

(one)
Entry from Alexandria: crystalline NaMg2Ir2 at its relaxed geometry (PBE).

```
10
Lattice="8.140 0.000 0.000 0.000 8.140 0.000 0.000 0.000 2.694" Properties=species:S:1:pos:R:3 pbc="T T T"
Na 0.000 0.000 0.000
Na 4.070 4.070 0.000
Mg 2.960 7.030 0.000
Mg 7.030 5.180 0.000
Mg 5.180 1.110 0.000
Mg 1.110 2.960 0.000
Ir 1.287 5.357 1.347
Ir 5.357 6.853 1.347
Ir 6.853 2.783 1.347
Ir 2.783 1.287 1.347
```

Summary:
Symmetry: P4/mbm
Theoretical density: 8.48 g/cm³
Crystal system: tetragonal
Total moment: 0.00 μB/cell

=====

(two)
Entry from Alexandria: crystalline NaMg2Ir2 at its relaxed geometry (PBE).

```
5
Lattice="-0.206 -1.712 4.341 -1.961 -3.912 -1.636 3.306 -4.776 0.787" Properties=species:S:1:pos:R:3 pbc="T T T"
Na 0.000 0.000 0.000
Mg 1.008 -4.650 3.240
Mg 0.131 -5.750 0.252
Ir -0.001 -3.296 1.213
Ir 1.141 -7.103 2.279
```

Summary:
Symmetry: I4/mmm
Theoretical density: 7.17 g/cm³
Crystal system: tetragonal
Total moment: 0.00 μB/cell

=====

Stability check: which of them is most stable? (one).

=====

(one)
Entry from Alexandria: crystalline Mg2NbIr2 at its relaxed geometry (PBE).

```
10
Lattice="7.393 0.000 0.000 0.000 7.393 0.000 0.000 0.000 3.055" Properties=species:S:1:pos:R:3 pbc="T T T"
Nb 0.000 0.000 0.000
Nb 3.696 3.696 0.000
Ir 2.479 6.175 0.000
Ir 6.175 4.913 0.000
Ir 4.913 1.217 0.000
Ir 1.217 2.479 0.000
Mg 1.000 4.696 1.527
Mg 4.696 6.393 1.527
Mg 6.393 2.696 1.527
Mg 2.696 1.000 1.527
```

Summary:
Symmetry: P4/mbm
Theoretical density: 10.46 g/cm³
Crystal system: tetragonal
Total moment: 0.00 μB/cell

=====

(two)
Entry from Alexandria: crystalline Mg2NbIr2 at its relaxed geometry (PBE).

```
5
Lattice="2.998 0.000 0.000 0.000 2.969 0.562 0.000 -0.350 9.962" Properties=species:S:1:pos:R:3 pbc="T T T"
Mg 0.000 0.297 6.546
Mg 0.000 2.321 3.979
Nb 0.000 0.000 0.000
Ir 1.499 1.158 2.003
Ir 1.499 1.461 8.521
```

Summary:
Symmetry: Cmmm
Theoretical density: 9.79 g/cm³
Crystal system: orthorhombic
Total moment: 0.00 μB/cell

=====

Stability check: which of them is most stable? (two).

=====

(one)
Entry from Alexandria: crystalline MgNb2Ir2 at its relaxed geometry (PBE).

```
10
Lattice="7.905 0.000 0.000 0.000 7.905 0.000 0.000 0.000 2.861" Properties=species:S:1:pos:R:3 pbc="T T T"
Nb 2.759 6.711 0.000
Nb 6.711 5.146 0.000
Nb 5.146 1.193 0.000
Nb 1.193 2.759 0.000
Ir 1.116 5.068 1.431
Ir 5.068 6.789 1.431
Ir 6.789 2.837 1.431
Ir 2.837 1.116 1.431
Mg 0.000 0.000 0.000
Mg 3.952 3.952 0.000
```

Summary:
Symmetry: P4/mbm
Theoretical density: 11.04 g/cm³
Crystal system: tetragonal
Total moment: 0.00 μB/cell

=====

(two)
Entry from Alexandria: crystalline MgNb2Ir2 at its relaxed geometry (PBE).

```
10
Lattice="7.730 0.000 0.000 0.000 7.730 0.000 0.000 0.000 2.954" Properties=species:S:1:pos:R:3 pbc="T T T"
Nb 1.270 5.135 1.477
Nb 5.135 6.460 1.477
Nb 6.460 2.595 1.477
Nb 2.595 1.270 1.477
Ir 2.860 6.725 0.000
Ir 6.725 4.870 0.000
Ir 4.870 1.005 0.000
Ir 1.005 2.860 0.000
Mg 0.000 0.000 0.000
Mg 3.865 3.865 0.000
```

Summary:
Symmetry: P4/mbm
Theoretical density: 11.18 g/cm³
Crystal system: tetragonal
Total moment: 0.00 μB/cell

=====

Stability check: which of them is most stable? (two).

=====

(one)
Entry from Alexandria: crystalline MgNi3Ir at its relaxed geometry (PBE).

```
20
Lattice="-2.913 1.817 -4.655 -3.888 -4.716 0.593 -4.461 4.237 4.444" Properties=species:S:1:pos:R:3 pbc="T T T"
Mg -3.471 1.996 1.095
Mg -7.791 -0.658 -0.713
Mg -3.665 -0.389 -3.307
Mg -7.597 1.727 3.689
Ni -3.565 1.554 -1.699
Ni -5.144 1.789 2.973
Ni -4.834 -0.089 -0.604
Ni -3.710 2.573 -3.860
Ni -6.428 1.427 0.986
Ni -7.697 -0.216 2.081
Ni -5.548 -2.257 -0.057
Ni -5.714 3.595 0.439
Ni -6.118 -0.451 -2.591
Ni -7.552 -1.235 4.242
Ni -8.431 1.746 -0.285
Ni -2.831 -0.408 0.667
Ir -5.185 -0.563 1.813
Ir -5.946 4.209 2.980
Ir -6.077 1.901 -1.431
Ir -5.316 -2.871 -2.598
```

Summary:
Symmetry: Pnnm
Theoretical density: 9.67 g/cm³
Crystal system: orthorhombic
Total moment: 1.83 μB/cell

=====

(two)
Entry from Alexandria: crystalline MgNi3Ir at its relaxed geometry (PBE).

```
5
Lattice="4.556 0.000 0.000 0.000 4.556 0.000 0.000 0.000 4.556" Properties=species:S:1:pos:R:3 pbc="T T T"
Ni 0.000 2.278 0.000
Ni 0.000 0.000 2.278
Ni 2.278 0.000 0.000
Mg 2.278 2.278 2.278
Ir 0.000 0.000 0.000
```

Summary:
Symmetry: Pm-3m
Theoretical density: 6.89 g/cm³
Crystal system: cubic
Total moment: 2.68 μB/cell

=====

Stability check: which of them is most stable? (one).

=====

(one)
Entry from Alexandria: crystalline MgNi2Ir2 at its relaxed geometry (PBE).

```
10
Lattice="-2.078 6.819 0.975 0.042 -1.006 7.124 2.603 0.779 0.095" Properties=species:S:1:pos:R:3 pbc="T T T"
Ni -0.752 1.705 6.638
Ni -1.802 5.375 5.276
Ni -1.283 4.108 1.461
Ni -0.234 0.438 2.823
Mg 0.000 0.000 0.000
Mg -1.018 2.906 4.050
Ir 0.964 0.912 5.038
Ir -0.069 4.174 6.574
Ir -0.396 5.680 3.155
Ir 0.637 2.419 1.620
```

Summary:
Symmetry: P4/mbm
Theoretical density: 12.42 g/cm³
Crystal system: tetragonal
Total moment: 0.01 μB/cell

=====

(two)
Entry from Alexandria: crystalline MgNi2Ir2 at its relaxed geometry (PBE).

```
5
Lattice="-1.231 -3.279 0.085 2.636 -1.043 -2.058 4.072 -3.299 3.904" Properties=species:S:1:pos:R:3 pbc="T T T"
Ni 1.772 -4.369 1.501
Ni 3.705 -3.251 0.430
Mg 0.000 0.000 0.000
Ir 1.399 -2.396 0.024
Ir 4.078 -5.224 1.907
```

Summary:
Symmetry: I4/mmm
Theoretical density: 11.77 g/cm³
Crystal system: tetragonal
Total moment: 0.02 μB/cell

=====

Stability check: which of them is most stable? (one).

=====

(one)
Entry from Alexandria: crystalline MgNiIr3 at its relaxed geometry (PBE).

```
5
Lattice="4.501 0.000 0.000 0.000 4.501 0.000 0.000 0.000 4.501" Properties=species:S:1:pos:R:3 pbc="T T T"
Ni 0.000 0.000 0.000
Mg 2.251 2.251 2.251
Ir 0.000 2.251 0.000
Ir 0.000 0.000 2.251
Ir 2.251 0.000 0.000
```

Summary:
Symmetry: Pm-3m
Theoretical density: 12.01 g/cm³
Crystal system: cubic
Total moment: 3.39 μB/cell

=====

(two)
Entry from Alexandria: crystalline MgNiIr3 at its relaxed geometry (PBE).

```
5
Lattice="-3.601 2.267 1.306 -2.386 -3.758 -0.056 1.074 -0.745 4.255" Properties=species:S:1:pos:R:3 pbc="T T T"
Ni -2.457 -1.118 2.753
Mg 0.000 0.000 0.000
Ir -1.193 -1.879 -0.028
Ir 0.537 -0.373 2.128
Ir -1.801 1.134 0.653
```

Summary:
Symmetry: Pm-3m
Theoretical density: 12.42 g/cm³
Crystal system: cubic
Total moment: 2.28 μB/cell

=====

Stability check: which of them is most stable? (one).